The following is a DFT calculation (PBE) of an optimized crystal structure of CsNa3Sn.

Results
Its symmetry is C2/c, No. 15. The theoretical density comes out at 2.589 Mg/m³. The raw total energy comes out at -1.836 eV/atom. Its energy above the lowest structure with this stoichiometry is 38 meV per atom. The value obtained for the calculated volume is 41.1 Å³ per atom. For the energy of formation, the calculation gives -0.07 eV/atom.

Cell lengths 8.097, 10.596, 10.596 Å; angles 69.16, 78.13, 78.13 degrees
Fractional coordinates of all 20 atoms:
1 Cs 0.250 0.989 0.011
2 Cs 0.750 0.011 0.989
3 Cs 0.250 0.356 0.644
4 Cs 0.750 0.644 0.356
5 Na 0.591 0.642 0.961
6 Na 0.909 0.039 0.358
7 Na 0.409 0.358 0.039
8 Na 0.091 0.961 0.642
9 Na 0.902 0.354 0.020
10 Na 0.598 0.980 0.646
11 Na 0.098 0.646 0.980
12 Na 0.402 0.020 0.354
13 Na 0.412 0.675 0.668
14 Na 0.088 0.332 0.325
15 Na 0.588 0.325 0.332
16 Na 0.912 0.668 0.675
17 Sn 0.702 0.405 0.769
18 Sn 0.798 0.231 0.595
19 Sn 0.298 0.595 0.231
20 Sn 0.202 0.769 0.405